## i
The following is a PBE calculation of a relaxed La2NdTm4 crystal, from Alexandria via LeMat-Bulk.

Summary:
- density of states at the Fermi level (states/eV/cell) = 19.59
- mass density (g cm⁻³) = 7.96

Cell lengths 10.728, 8.799, 8.037 Å; angles 111.29, 107.60, 122.81 degrees
Fractional positions:
Tm1 0.874 0.357 0.129
Tm2 0.018 0.645 0.695
Tm3 0.445 0.496 0.410
Tm4 0.090 0.282 0.479
Tm5 0.517 0.146 0.196
Tm6 0.591 0.785 0.981
Tm7 0.303 0.215 0.840
Tm8 0.161 0.930 0.268
Nd1 0.805 0.716 0.342
Nd2 0.950 0.004 0.917
La1 0.372 0.856 0.630
La2 0.657 0.424 0.759
La3 0.730 0.070 0.550
La4 0.237 0.575 0.053

## ii
The following is a PBE calculation of a relaxed La2NdTm4 crystal, from Alexandria via LeMat-Bulk.

Summary:
- density of states at the Fermi level (states/eV/cell) = 10.68
- mass density (g cm⁻³) = 7.83

Cell lengths 7.871, 9.429, 6.557 Å; angles 136.10, 120.66, 89.38 degrees
Fractional positions:
La1 0.769 0.217 0.428
La2 0.231 0.784 0.572
Nd1 0.000 0.000 0.000
Tm1 0.711 0.314 0.993
Tm2 0.288 0.685 0.003
Tm3 0.285 0.312 0.000
Tm4 0.717 0.690 0.004

Top of the stability list: i, leading by 16.6 kJ/mol of atoms.

## i
The following is a PBE calculation of a relaxed La3Nd3Tm crystal, from Alexandria via LeMat-Bulk.

Summary:
- density of states at the Fermi level (states/eV/cell) = 23.26
- mass density (g cm⁻³) = 6.78

Cell lengths 5.922, 9.863, 9.863 Å; angles 120.00, 90.00, 90.00 degrees
Fractional positions:
La1 0.750 0.196 0.953
La2 0.750 0.757 0.804
La3 0.250 0.953 0.757
La4 0.750 0.047 0.243
La5 0.250 0.243 0.196
La6 0.250 0.804 0.047
Nd1 0.750 0.481 0.385
Nd2 0.750 0.904 0.519
Nd3 0.250 0.385 0.904
Nd4 0.750 0.615 0.096
Nd5 0.250 0.096 0.481
Nd6 0.250 0.519 0.615
Tm1 0.250 0.667 0.333
Tm2 0.750 0.333 0.667

## ii
The following is a PBE calculation of a relaxed La3Nd3Tm crystal, from Alexandria via LeMat-Bulk.

Summary:
- density of states at the Fermi level (states/eV/cell) = 20.67
- mass density (g cm⁻³) = 6.70

Cell lengths 8.996, 8.996, 8.996 Å; angles 59.17, 59.17, 59.17 degrees
Fractional positions:
La1 0.698 0.191 0.940
La2 0.191 0.940 0.698
La3 0.940 0.698 0.191
La4 0.060 0.302 0.809
La5 0.809 0.060 0.302
La6 0.302 0.809 0.060
Nd1 0.722 0.566 0.069
Nd2 0.069 0.722 0.566
Nd3 0.566 0.069 0.722
Nd4 0.434 0.931 0.278
Nd5 0.931 0.278 0.434
Nd6 0.278 0.434 0.931
Tm1 0.347 0.347 0.347
Tm2 0.653 0.653 0.653

Top of the stability list: i, leading by 18.0 kJ/mol of atoms.